## Re2TcOs (PBE)

Data for a relaxed Re2TcOs crystal.

Output
N(E_F) (states/eV per cell): 4.54
M_tot (μB per cell): 0.00
Electronic total energy (eV for the cell shown): -46.24
Formation enthalpy at 0 K (eV/atom): 0.062
Space-group type: Pmmm

abc: 2.747 3.883 5.528
angles: 90.00 90.00 90.00
Fractional positions:
1 Os 0.500 0.500 0.750
2 Re 0.000 0.000 0.999
3 Re 0.000 0.000 0.501
4 Tc 0.500 0.500 0.250


## ReTc2Os2 (PBE)

Data for a relaxed ReTc2Os2 crystal.

Output
N(E_F) (states/eV per cell): 7.89
M_tot (μB per cell): 0.00
Electronic total energy (eV for the cell shown): -107.66
Formation enthalpy at 0 K (eV/atom): 0.362
Space-group type: C2/m

abc: 4.430 5.402 7.587
angles: 67.55 73.03 65.80
Fractional positions:
1 Re 0.769 0.675 0.287
2 Re 0.231 0.325 0.713
3 Tc 0.327 0.803 0.044
4 Tc 0.863 0.197 0.577
5 Tc 0.673 0.197 0.956
6 Tc 0.137 0.803 0.423
7 Os 0.470 0.222 0.338
8 Os 0.944 0.727 0.886
9 Os 0.056 0.273 0.114
10 Os 0.530 0.778 0.662


## ReTc2Os (PBE)

Data for a relaxed ReTc2Os crystal.

Output
N(E_F) (states/eV per cell): 5.08
M_tot (μB per cell): 0.00
Electronic total energy (eV for the cell shown): -44.15
Formation enthalpy at 0 K (eV/atom): 0.065
Space-group type: Pmm2

abc: 2.740 3.881 5.510
angles: 90.00 90.00 90.00
Fractional positions:
1 Os 0.000 0.000 0.500
2 Re 0.500 0.500 0.747
3 Tc 0.000 0.000 0.003
4 Tc 0.500 0.500 0.250


no.,energy above the lowest structure with this stoichiometry (eV per formula unit)
1,0.32
2,0.36
3,0.47